No. 1
This record from Alexandria describes ScAuF3 after structural relaxation. The functional is GGA-PBE.

Lattice parameters (Å, degrees): 4.1914 4.1914 4.1914 90.00 90.00 90.00
Last column: nearest neighbours and their distance in Å.
Fractional coordinates of all 5 atoms:
Sc1 0.0000 0.0000 0.0000  6 F 2.10
F1 0.0000 0.0000 0.5000  2 Sc 2.10
F2 0.0000 0.5000 0.0000  2 Sc 2.10
F3 0.5000 0.0000 0.0000  2 Sc 2.10
Au1 0.5000 0.5000 0.5000  12 F 2.96

Values from the calculation:
crystal system = cubic
ΔE_f (raw) = -1207 kJ/mol of formula units
ΔE to the lowest computed polymorph = 0.000 eV/atom

No. 2
This record from Alexandria describes ScAuF2 after structural relaxation. The functional is GGA-PBE.

Lattice parameters (Å, degrees): 5.2989 5.2989 6.9005 67.42 67.42 90.00
Last column: nearest neighbours and their distance in Å.
Fractional coordinates of all 8 atoms:
F1 0.3750 0.6250 0.7500  2 Sc 1.96
F2 0.3750 0.6250 0.2500  2 Sc 1.96
F3 0.3750 0.1250 0.2500  2 Sc 1.96
F4 0.8750 0.6250 0.7500  2 Sc 1.96
Sc1 0.2500 0.7500 0.5000  4 F 1.96
Sc2 0.5000 0.5000 0.0000  4 F 1.96
Au1 0.0000 0.0000 0.0000  8 F 3.30
Au2 0.7500 0.2500 0.5000  8 F 3.30

Values from the calculation:
crystal system = tetragonal
ΔE_f (raw) = -842 kJ/mol of formula units
ΔE to the lowest computed polymorph = 0.029 eV/atom

No. 3
This record from Alexandria describes ScAuF2 after structural relaxation. The functional is GGA-PBE.

Lattice parameters (Å, degrees): 9.6574 9.6574 9.6574 17.87 17.87 17.87
Last column: nearest neighbours and their distance in Å.
Fractional coordinates of all 4 atoms:
F1 0.1229 0.1229 0.1229  3 Sc 2.13
F2 0.8771 0.8771 0.8771  3 Sc 2.13
Sc1 0.5000 0.5000 0.5000  6 F 2.13
Au1 0.0000 0.0000 0.0000  6 Au 3.00

Values from the calculation:
crystal system = trigonal
ΔE_f (raw) = -853 kJ/mol of formula units
ΔE to the lowest computed polymorph = 0.000 eV/atom

No. 4
This record from Alexandria describes ScAu3F after structural relaxation. The functional is GGA-PBE.

Lattice parameters (Å, degrees): 4.6258 4.6258 4.6258 90.00 90.00 90.00
Last column: nearest neighbours and their distance in Å.
Fractional coordinates of all 5 atoms:
Au1 0.5000 0.0000 0.0000  2 F 2.31
Au2 0.0000 0.5000 0.0000  2 F 2.31
Au3 0.0000 0.0000 0.5000  2 F 2.31
F1 0.0000 0.0000 0.0000  6 Au 2.31
Sc1 0.5000 0.5000 0.5000  12 Au 3.27

Values from the calculation:
crystal system = cubic
ΔE_f (raw) = 48 kJ/mol of formula units
ΔE to the lowest computed polymorph = 0.000 eV/atom

No. 5
This record from Alexandria describes ScTeAuF2 after structural relaxation. The functional is GGA-PBE.

Lattice parameters (Å, degrees): 4.0651 4.0651 6.0365 90.00 90.00 90.00
Last column: nearest neighbours and their distance in Å.
Fractional coordinates of all 5 atoms:
F1 0.0000 0.5000 0.0000  2 Sc 2.03
F2 0.5000 0.0000 0.0000  2 Sc 2.03
Au1 0.5000 0.5000 0.5000  4 Te 2.87
Te1 0.0000 0.0000 0.5000  4 Au 2.87, 2 Sc 3.02
Sc1 0.0000 0.0000 0.0000  4 F 2.03

Values from the calculation:
crystal system = tetragonal
ΔE_f (raw) = -1076 kJ/mol of formula units

No. 6
This record from Alexandria describes Sc2TiAuF after structural relaxation. The functional is GGA-PBE.

Lattice parameters (Å, degrees): 5.3114 4.3663 5.3114 90.00 90.00 90.00
Last column: nearest neighbours and their distance in Å.
Fractional coordinates of all 5 atoms:
F1 0.0000 0.5000 0.0000  2 Au 2.18
Sc1 0.0000 0.0000 0.5000  2 Au 2.66
Sc2 0.5000 0.0000 0.0000  2 Au 2.66
Ti1 0.5000 0.5000 0.5000  8 Sc 3.44, 4 F 3.76
Au1 0.0000 0.0000 0.0000  2 F 2.18

Values from the calculation:
crystal system = tetragonal
ΔE_f (raw) = 142 kJ/mol of formula units